# 1
Computed, not measured: a relaxed structure of PmNdIrPd at the GGA-PBE level of DFT.

Structure (POSCAR):
```
PmNdIrPd
1.0
3.884 0.000 0.000
0.000 4.509 0.000
-1.942 0.000 5.402
Pm Nd Ir Pd
1 1 1 1
Cartesian
1.942 2.254 3.924
0.000 0.000 1.512
0.000 0.000 4.461
1.942 2.254 0.908
```

Output
Energy above the lowest structure with this stoichiometry   0 meV/atom
Symmetry   Amm2, No. 38
ΔE_f   -71.92 kJ per mole of atoms


# 2
Computed, not measured: a relaxed structure of AlOsPt2 at the GGA-PBE level of DFT.

Structure (POSCAR):
```
AlOsPt2
1.0
-0.655 -3.049 -3.648
3.782 -2.926 -0.419
-2.757 1.201 3.741
Os Al Pt
1 1 2
Cartesian
-0.924 -2.418 -0.970
1.294 -2.356 0.645
0.000 0.000 0.000
1.564 -2.987 -2.034
```

Output
Symmetry   I4/mmm, No. 139
ΔE_f   -23.81 kJ per mole of atoms


# 3
Computed, not measured: a relaxed structure of Ho2Si5Tc3 at the GGA-PBE level of DFT.

Structure (POSCAR):
```
Ho2Si5Tc3
1.0
-5.393 -1.228 -0.491
-3.665 0.542 7.495
-4.497 7.036 0.403
Ho Si Tc
4 10 6
Cartesian
-3.513 1.066 4.517
-6.606 3.545 0.893
-10.042 5.285 2.890
-6.949 2.806 6.513
-7.316 6.124 2.251
-9.479 1.342 6.557
-6.239 0.227 5.155
-4.076 5.009 0.850
-8.942 5.464 6.053
-4.613 0.887 1.353
-8.126 2.869 3.580
-5.429 3.482 3.826
-1.917 1.500 1.599
-11.638 4.851 5.808
-7.261 5.039 4.357
-9.817 3.328 5.310
-6.294 1.312 3.049
-3.738 3.023 2.097
-1.348 -0.307 -0.123
-4.045 -0.921 -0.369
```

Output
Symmetry   Ibam, No. 72
Formation energy from raw total energies   -0.680 eV per atom


# 4
Computed, not measured: a relaxed structure of PaZn4Ag at the GGA-PBE level of DFT.

Structure (POSCAR):
```
PaZn4Ag
1.0
-3.341 -0.610 -2.758
-0.250 -1.494 4.104
-2.623 5.704 1.919
Pa Zn Ag
1 4 1
Cartesian
-1.445 2.093 2.994
-3.037 -0.375 1.998
-3.195 3.950 1.232
-4.475 2.751 3.049
-1.756 0.825 0.181
-2.757 4.945 3.954
```

Output
Energy above the lowest structure with this stoichiometry   0 meV/atom
Symmetry   P6/mmm, No. 191
ΔE_f   -3.38 kJ per mole of atoms


Record order is preserved below.
Magnetization: 0.00 0.00 0.00 0.00 μB per atom
Record order is preserved below.
Energy: -6.64 -7.01 -7.42 -2.94 eV/atom